A geometry-optimized NaTe2Pd structure. Source: Alexandria, functional PBE.

Values from the calculation:
**VASP energy**: -3.618 eV/atom
**Uncorrected formation energy**: -419 meV/atom
**Total magnetic moment**: 0.00 μB/cell
**Excess energy over the best structure of this formula in the dataset**: 0.035 eV/atom

abc: 8.3365 8.3365 6.6439
angles: 51.14 51.14 90.00
Element x y z (fractional)
Na1 0.5000 0.5000 0.0000
Na2 0.2500 0.7500 0.5000
Te1 0.6970 0.1250 0.2500
Te2 0.0530 0.6250 0.2500
Te3 0.3750 0.3030 0.7500
Te4 0.8750 0.9470 0.7500
Pd1 0.0000 0.0000 0.0000
Pd2 0.7500 0.2500 0.5000